w | NiBI2O GGA+U optimized geometry; space-group type = P4/mmm; N(E_F) = 4.2 states/eV/cell
1.0
5.543 0.000 0.000
0.000 5.543 0.000
0.000 0.000 2.906
I Ni O B
2 1 1 1
Cartesian
2.771 0.000 0.000
0.000 2.771 0.000
2.771 2.771 1.453
0.000 0.000 1.453
0.000 0.000 0.000

x | NiBI2O GGA+U optimized geometry; space-group type = P4/mmm; N(E_F) = 2.3 states/eV/cell
1.0
-3.911 -3.104 -2.660
-1.749 -2.056 4.972
-2.314 2.668 0.289
O I B Ni
1 2 1 1
Cartesian
-1.157 1.334 0.145
-0.875 -1.028 2.486
-1.956 -1.552 -1.330
-3.987 -1.246 1.301
0.000 0.000 0.000

Going by the energies, w is most stable and the next is 354 meV per atom up.